No. 1
The following is a DFT calculation (PBE-GGA) of a geometry-optimized PmCuAs2 structure.

Summary:
distance to the lowest polymorph of the same formula: 1.35 eV/f.u.
magnetization: 0.00 μB per cell

Lattice parameters (Å, degrees): 4.4402 4.4402 4.0419 90.00 90.00 90.00
Positions (direct):
Pm  0.0000  0.0000  0.0000
Cu  0.5000  0.5000  0.0000
As  0.0000  0.5000  0.5000
As  0.5000  0.0000  0.5000

=====

No. 2
The following is a DFT calculation (PBE-GGA) of a geometry-optimized PmCuAs2 structure.

Summary:
distance to the lowest polymorph of the same formula: 2.93 eV/f.u.
magnetization: 0.00 μB per cell

Lattice parameters (Å, degrees): 4.1851 4.1851 23.8224 90.00 90.00 120.00
Positions (direct):
Pm  0.0000  0.0000  0.0000
Pm  0.3333  0.6667  0.6667
Pm  0.6667  0.3333  0.3333
Cu  0.0000  0.0000  0.5000
Cu  0.3333  0.6667  0.1667
Cu  0.6667  0.3333  0.8333
As  0.0000  0.0000  0.4050
As  0.0000  0.0000  0.5950
As  0.3333  0.6667  0.0717
As  0.3333  0.6667  0.2616
As  0.6667  0.3333  0.7384
As  0.6667  0.3333  0.9283

=====

No. 3
The following is a DFT calculation (PBE-GGA) of a geometry-optimized PmCu4As2 structure.

Summary:
E_tot: -4.789 eV/atom
magnetization: 0.00 μB per cell

Lattice parameters (Å, degrees): 7.5234 7.5234 3.9719 90.00 90.00 90.00
Positions (direct):
Pm  0.0000  0.0000  0.0000
Pm  0.5000  0.5000  0.5000
Cu  0.0856  0.3453  0.5000
Cu  0.1547  0.5856  0.0000
Cu  0.3453  0.0856  0.5000
Cu  0.4144  0.8453  0.0000
Cu  0.5856  0.1547  0.0000
Cu  0.6547  0.9144  0.5000
Cu  0.8453  0.4144  0.0000
Cu  0.9144  0.6547  0.5000
As  0.2141  0.7859  0.5000
As  0.2859  0.2859  0.0000
As  0.7141  0.7141  0.0000
As  0.7859  0.2141  0.5000